# 1
KMnZn2Co | PBE-GGA | optimized geometry

Properties
- space-group type = P4/mmm
- DFT total energy (eV per cell) = -13.7
- magnetization (μB per atom) = 1.157
- D(E_F) (states/eV/cell) = 6.2
- E_form (eV per atom) = 1.243

Structure (extended XYZ):
```
5
Lattice="-2.136 3.964 1.831 -4.547 -0.923 -3.307 -2.004 -2.701 3.509" Properties=species:S:1:pos:R:3 pbc="T T T"
K -2.273 -0.462 -1.653
Zn -1.002 -1.350 1.755
Zn -1.068 1.982 0.915
Mn 0.000 0.000 0.000
Co -4.343 0.170 1.016
```



# 2
MgHgSe | PBE-GGA | optimized geometry

Properties
- space-group type = P3m1
- DFT total energy (eV per cell) = -7.3
- energy above the lowest structure with this stoichiometry (meV/atom) = 15.1
- magnetization (μB per atom) = 0.000

Structure (extended XYZ):
```
3
Lattice="-3.575 -0.360 1.992 1.041 -2.755 -2.865 2.545 -3.189 3.992" Properties=species:S:1:pos:R:3 pbc="T T T"
Mg 0.557 -3.278 0.409
Se -0.569 -2.996 2.674
Hg 0.023 -0.029 0.036
```



# 3
TmCd4Au2 | PBE-GGA | optimized geometry

Properties
- space-group type = Cmmm
- DFT total energy (eV per cell) = -17.0
- magnetization (μB per atom) = 0.000
- D(E_F) (states/eV/cell) = 2.8
- E_form (eV per atom) = -0.324

Structure (extended XYZ):
```
7
Lattice="3.433 0.000 0.000 0.000 4.626 0.000 0.000 -2.313 9.551" Properties=species:S:1:pos:R:3 pbc="T T T"
Cd 0.000 2.313 3.829
Cd 0.000 0.000 5.722
Cd 1.717 2.313 6.588
Cd 1.717 0.000 2.963
Au 1.717 0.000 8.192
Au 1.717 2.313 1.359
Tm 0.000 0.000 0.000
```



# 4
TbDyEr2Sc | PBE-GGA | optimized geometry

Properties
- space-group type = Cmcm
- DFT total energy (eV per cell) = -45.9
- magnetization (μB per atom) = 0.000
- D(E_F) (states/eV/cell) = 12.3
- E_form (eV per atom) = 0.348

Structure (extended XYZ):
```
10
Lattice="7.044 0.000 0.000 0.000 8.116 0.000 0.000 -4.058 5.569" Properties=species:S:1:pos:R:3 pbc="T T T"
Tb 1.761 0.000 2.999
Tb 5.283 4.058 2.571
Er 0.000 5.656 0.000
Er 3.522 5.656 0.000
Er 3.522 2.459 0.000
Er 0.000 2.459 0.000
Dy 1.761 4.058 2.562
Dy 5.283 0.000 3.007
Sc 5.283 4.058 5.569
Sc 1.761 0.000 0.000
```



# 5
DyScTlTc | PBE-GGA | optimized geometry

Properties
- space-group type = F-43m
- DFT total energy (eV per cell) = -24.0
- magnetization (μB per atom) = 0.000
- D(E_F) (states/eV/cell) = 2.8
- E_form (eV per atom) = -0.092

Structure (extended XYZ):
```
4
Lattice="4.957 0.000 0.000 2.478 4.293 0.000 2.478 1.431 4.047" Properties=species:S:1:pos:R:3 pbc="T T T"
Tc 7.435 4.293 3.035
Sc 0.000 0.000 0.000
Dy 4.957 2.862 2.024
Tl 2.478 1.431 1.012
```



# 6
SrYBi2 | PBE-GGA | optimized geometry

Properties
- space-group type = R3m
- DFT total energy (eV per cell) = -18.7
- energy above the lowest structure with this stoichiometry (meV/atom) = 82.2
- magnetization (μB per atom) = 0.000
- D(E_F) (states/eV/cell) = 3.6
- E_form (eV per atom) = -0.699

Structure (extended XYZ):
```
4
Lattice="4.763 0.000 0.000 2.382 4.125 0.000 2.382 1.375 7.538" Properties=species:S:1:pos:R:3 pbc="T T T"
Bi 2.382 1.375 2.063
Bi 2.382 1.375 5.472
Y 4.763 2.750 3.837
Sr 7.145 4.125 7.474
```



# 7
RuC3 | PBE-GGA | optimized geometry

Properties
- space-group type = I4/mmm
- DFT total energy (eV per cell) = -25.6
- energy above the lowest structure with this stoichiometry (meV/atom) = 1919.9
- magnetization (μB per atom) = 0.000
- D(E_F) (states/eV/cell) = 1.8
- E_form (eV per atom) = 2.826

Structure (extended XYZ):
```
4
Lattice="3.958 -0.023 0.000 1.323 3.730 0.000 -2.641 -1.854 2.293" Properties=species:S:1:pos:R:3 pbc="T T T"
C 1.979 -0.012 1.147
C 0.662 1.865 1.147
C 2.641 1.854 0.000
Ru 0.000 0.000 0.000
```



# 8
Rb6TcF12 | PBE-GGA | optimized geometry

Properties
- space-group type = R-3
- DFT total energy (eV per cell) = -84.1
- magnetization (μB per atom) = 0.157
- D(E_F) (states/eV/cell) = 27.1

Structure (extended XYZ):
```
19
Lattice="-3.687 -2.920 -6.448 -4.067 -3.811 5.713 -3.495 7.163 0.416" Properties=species:S:1:pos:R:3 pbc="T T T"
Rb -3.987 2.531 1.201
Rb -7.079 2.601 -1.604
Rb -4.170 -2.169 1.284
Rb -3.966 0.104 -2.829
Rb -7.262 -2.099 -1.520
Rb -7.284 0.328 2.510
F -6.760 2.547 1.144
F -4.314 2.469 -1.437
F -6.135 4.269 -4.441
F -5.115 -3.838 4.122
F -6.506 1.925 5.437
F -6.734 0.274 -2.841
F -4.489 -2.115 -1.463
F -6.935 -2.037 1.117
F -4.659 5.888 1.222
F -4.744 -1.494 -5.757
F -6.590 -5.457 -1.542
F -4.515 0.158 2.521
Tc 0.000 0.000 0.000
```



# 9
Ba2CdBi3Rh4 | PBE-GGA | optimized geometry

Properties
- space-group type = P-4m2
- DFT total energy (eV per cell) = -49.8
- magnetization (μB per atom) = 0.000
- D(E_F) (states/eV/cell) = 9.6
- E_form (eV per atom) = -0.400

Structure (extended XYZ):
```
10
Lattice="-0.015 0.688 4.683 3.504 -3.146 0.473 7.535 8.213 -1.183" Properties=species:S:1:pos:R:3 pbc="T T T"
Ba 1.882 2.403 2.045
Ba 7.398 4.581 -0.650
Rh 4.733 5.510 1.597
Rh 0.000 0.000 0.000
Rh 1.745 -1.229 2.578
Rh 4.547 1.473 -0.202
Cd 5.512 2.877 1.987
Bi 3.768 4.106 -0.591
Bi 2.699 -0.540 0.088
Bi 6.580 7.524 1.307
```



# 10
YPt6 | PBE-GGA | optimized geometry

Properties
- space-group type = Pm-3m
- DFT total energy (eV per cell) = -35.3
- energy above the lowest structure with this stoichiometry (meV/atom) = 1586.2
- magnetization (μB per atom) = 0.001
- D(E_F) (states/eV/cell) = 12.8
- E_form (eV per atom) = 1.063

Structure (extended XYZ):
```
7
Lattice="-1.979 -1.380 -5.560 0.225 -5.897 1.383 -5.725 0.245 1.977" Properties=species:S:1:pos:R:3 pbc="T T T"
Pt -3.671 -5.311 -0.679
Pt -3.137 -3.096 0.592
Pt -3.808 -1.721 -1.521
Pt -5.482 -3.441 -0.498
Pt -4.342 -3.936 -2.792
Pt -1.997 -3.591 -1.702
Y 0.000 0.000 0.000
```



# 11
LiPu2As4Pd3 | PBE-GGA | optimized geometry

Properties
- space-group type = P-4m2
- DFT total energy (eV per cell) = -71.3
- magnetization (μB per atom) = 1.073
- D(E_F) (states/eV/cell) = 27.7
- E_form (eV per atom) = -0.654

Structure (extended XYZ):
```
10
Lattice="-2.265 -1.070 3.543 0.623 -4.205 -0.872 8.614 0.126 5.545" Properties=species:S:1:pos:R:3 pbc="T T T"
As 4.354 -0.455 5.304
As 0.000 0.000 0.000
As 3.438 -2.057 1.577
As -0.821 -2.637 1.335
Li 3.486 -2.575 4.108
Pd 4.307 0.063 2.773
Pd 6.415 -0.425 6.631
Pd 1.377 -2.087 0.250
Pu 6.807 -2.008 3.746
Pu 0.985 -0.504 3.135
```



# 12
Ac2DyMgHg6 | PBE-GGA | optimized geometry

Properties
- space-group type = P-1
- DFT total energy (eV per cell) = -19.0
- magnetization (μB per atom) = 0.000
- D(E_F) (states/eV/cell) = 6.8
- E_form (eV per atom) = -0.282

Structure (extended XYZ):
```
10
Lattice="-5.457 -0.091 -2.705 2.071 -9.644 -2.181 -3.704 -6.705 1.537" Properties=species:S:1:pos:R:3 pbc="T T T"
Ac -5.546 -5.908 -1.615
Ac -1.544 -10.532 -1.734
Dy -1.693 -4.867 -2.443
Hg -3.012 -4.235 0.159
Hg -4.078 -12.205 -3.509
Hg -2.869 -7.634 -2.969
Hg -7.159 -9.079 -1.327
Hg 0.069 -7.361 -2.023
Hg -4.222 -8.806 -0.380
Mg 0.000 0.000 0.000
```